[1]
A plane-wave DFT calculation with PBE-GGA was carried out for Ba4ZnPd3 after structural relaxation.

Computed properties:
Calculated volume ... 263 Å³/f.u.
Energy of formation ... -3.70 eV per formula unit
Space group ... Pmm2, No. 25

```
Ba4ZnPd3
1.0
4.5690 0.0000 0.0000
0.0000 4.6779 0.0000
0.0000 0.0000 12.3010
Ba Zn Pd
4 1 3
Cartesian
0.0000 0.0000 0.0000
0.0000 2.3389 3.2150
2.2845 0.0000 5.8981
2.2845 2.3389 9.4958
0.0000 0.0000 8.3833
0.0000 2.3389 7.1033
2.2845 0.0000 2.4876
2.2845 2.3389 0.7233
```

***

[2]
A plane-wave DFT calculation with PBE-GGA was carried out for PmThNi2 after structural relaxation.

Computed properties:
Calculated volume ... 87 Å³/f.u.
Energy of formation ... -1.58 eV per formula unit
Space group ... Pm, No. 6

```
PmThNi2
1.0
3.6926 0.0000 0.0000
0.0000 4.2797 0.0000
-1.8218 0.0000 5.4891
Pm Th Ni
1 1 2
Cartesian
0.0000 0.0000 0.0000
1.8698 2.1399 2.5504
0.0249 0.0000 3.0161
0.0241 2.1399 4.7508
```

***

[3]
A plane-wave DFT calculation with PBE-GGA was carried out for CrReRu after structural relaxation.

Computed properties:
Calculated volume ... 41 Å³/f.u.
Energy of formation ... 0.45 eV per formula unit
Space group ... P3m1, No. 156

```
CrReRu
1.0
2.6996 0.0000 0.0000
-1.3498 2.3379 0.0000
0.0000 0.0000 6.5377
Cr Re Ru
1 1 1
Cartesian
0.0000 0.0000 0.0000
0.0000 1.5586 2.1837
1.3498 0.7793 4.5035
```

***

[4]
A plane-wave DFT calculation with PBE-GGA was carried out for CaMn2Ag after structural relaxation.

Computed properties:
Calculated volume ... 79 Å³/f.u.
Energy of formation ... 1.91 eV per formula unit
Space group ... Fm-3m, No. 225

```
CaMn2Ag
1.0
0.0000 3.4043 3.4043
3.4043 0.0000 3.4043
3.4043 3.4043 0.0000
Ca Mn Ag
1 2 1
Cartesian
0.0000 0.0000 0.0000
1.7022 1.7022 1.7022
5.1065 5.1065 5.1065
3.4043 3.4043 3.4043
```